Entry 1:
Computed, not measured: a PBEsol-optimized structure of ScCo2Tc at the meta-GGA SCAN level of DFT.

a = 3.1495 Å, b = 4.0239 Å, c = 4.1918 Å
α = 90.00°, β = 90.00°, γ = 90.00°
Positions (direct):
Sc  0.0000  0.0000  0.0000
Co  0.0000  0.5000  0.5000
Co  0.5000  0.5000  0.0000
Tc  0.5000  0.0000  0.5000

Its energy of formation is 0.062 eV/atom. Its space-group type is Pmmm (47).

Entry 2:
Computed, not measured: a PBEsol-optimized structure of Sc6CoTe2 at the meta-GGA SCAN level of DFT.

a = 7.6423 Å, b = 7.6423 Å, c = 3.6912 Å
α = 90.00°, β = 90.00°, γ = 120.00°
Positions (direct):
Sc  0.0000  0.3893  0.0000
Sc  0.0000  0.7645  0.5000
Sc  0.2355  0.2355  0.5000
Sc  0.3893  0.0000  0.0000
Sc  0.6107  0.6107  0.0000
Sc  0.7645  0.0000  0.5000
Co  0.0000  0.0000  0.0000
Te  0.3333  0.6667  0.5000
Te  0.6667  0.3333  0.5000

Its space-group type is P-62m (189). For the formation energy without anion corrections, the calculation gives -685 meV per atom.

Entry 3:
Computed, not measured: a PBEsol-optimized structure of ScCoTe2 at the meta-GGA SCAN level of DFT.

a = 3.7035 Å, b = 3.6188 Å, c = 6.6088 Å
α = 90.00°, β = 104.56°, γ = 90.00°
Positions (direct):
Sc  0.0000  0.0000  0.0000
Co  0.0000  0.0000  0.5000
Te  0.3290  0.5000  0.7394
Te  0.6710  0.5000  0.2606

Its space-group type is P2/m (10). For the formation energy without anion corrections, the calculation gives -399 meV per atom.

Entry 4:
Computed, not measured: a PBEsol-optimized structure of Sc2TlCo at the meta-GGA SCAN level of DFT.

a = 3.1458 Å, b = 3.1458 Å, c = 7.4758 Å
α = 90.00°, β = 90.00°, γ = 90.00°
Positions (direct):
Sc  0.0000  0.0000  0.2008
Sc  0.0000  0.0000  0.7992
Tl  0.5000  0.5000  0.5000
Co  0.5000  0.5000  0.0000

Its energy of formation is -0.436 eV/atom. Its space-group type is P4/mmm (123).

Entry 5:
Computed, not measured: a PBEsol-optimized structure of ScTlCo at the meta-GGA SCAN level of DFT.

a = 4.4507 Å, b = 4.4507 Å, c = 4.4507 Å
α = 60.00°, β = 60.00°, γ = 60.00°
Positions (direct):
Sc  0.0000  0.0000  0.0000
Tl  0.2500  0.2500  0.2500
Co  0.7500  0.7500  0.7500

Its energy of formation is 0.359 eV/atom. Its space-group type is F-43m (216).

Entry 6:
Computed, not measured: a PBEsol-optimized structure of ScTlCo at the meta-GGA SCAN level of DFT.

a = 4.4558 Å, b = 4.4558 Å, c = 4.4558 Å
α = 60.00°, β = 60.00°, γ = 60.00°
Positions (direct):
Sc  0.0000  0.0000  0.0000
Tl  0.2500  0.2500  0.2500
Co  0.5000  0.5000  0.5000

Its energy of formation is 0.228 eV/atom. Its space-group type is F-43m (216).

Entry 7:
Computed, not measured: a PBEsol-optimized structure of Sc2TlCo at the meta-GGA SCAN level of DFT.

a = 3.4777 Å, b = 3.4777 Å, c = 8.1762 Å
α = 97.91°, β = 97.91°, γ = 53.72°
Positions (direct):
Sc  0.2461  0.2461  0.1931
Sc  0.7539  0.7539  0.8069
Tl  0.0000  0.0000  0.5000
Co  0.5000  0.5000  0.0000

Its energy of formation is -0.156 eV/atom. Its space-group type is C2/m (12).

Entry 8:
Computed, not measured: a PBEsol-optimized structure of ScCoW2 at the meta-GGA SCAN level of DFT.

a = 3.1253 Å, b = 3.1253 Å, c = 6.2634 Å
α = 90.00°, β = 90.00°, γ = 90.00°
Positions (direct):
Sc  0.0000  0.0000  0.0000
Co  0.5000  0.5000  0.7438
W  0.0000  0.0000  0.5168
W  0.5000  0.5000  0.2841

Its energy of formation is 0.109 eV/atom. Its space-group type is P4mm (99).

Entry 9:
Computed, not measured: a PBEsol-optimized structure of ScCoW2 at the meta-GGA SCAN level of DFT.

a = 2.7159 Å, b = 2.7159 Å, c = 8.2062 Å
α = 90.00°, β = 90.00°, γ = 90.00°
Positions (direct):
Sc  0.0000  0.0000  0.0000
Co  0.5000  0.5000  0.7702
W  0.0000  0.0000  0.5715
W  0.5000  0.5000  0.2958

Its energy of formation is 0.217 eV/atom. Its space-group type is P4mm (99).

Entry 10:
Computed, not measured: a PBEsol-optimized structure of Sc4CoW at the meta-GGA SCAN level of DFT.

a = 5.3847 Å, b = 5.3847 Å, c = 5.3847 Å
α = 60.00°, β = 60.00°, γ = 60.00°
Positions (direct):
Sc  0.1255  0.1255  0.1255
Sc  0.1255  0.1255  0.6236
Sc  0.1255  0.6236  0.1255
Sc  0.6236  0.1255  0.1255
Co  0.7500  0.7500  0.7500
W  0.5000  0.5000  0.5000

Its energy of formation is 0.860 eV/atom. Its space-group type is F-43m (216).

Entry 11:
Computed, not measured: a PBEsol-optimized structure of Y2ScCo at the meta-GGA SCAN level of DFT.

a = 3.2577 Å, b = 3.2577 Å, c = 8.4786 Å
α = 90.00°, β = 90.00°, γ = 90.00°
Positions (direct):
Y  0.0000  0.0000  0.0000
Y  0.5000  0.5000  0.3349
Sc  0.0000  0.0000  0.6396
Co  0.5000  0.5000  0.8007

Its energy of formation is -0.111 eV/atom. Its space-group type is P4mm (99).

Entry 12:
Computed, not measured: a PBEsol-optimized structure of YSc2Co at the meta-GGA SCAN level of DFT.

a = 10.1428 Å, b = 10.1428 Å, c = 10.1428 Å
α = 17.83°, β = 17.83°, γ = 17.83°
Positions (direct):
Y  0.0000  0.0000  0.0000
Sc  0.4256  0.4256  0.4256
Sc  0.5744  0.5744  0.5744
Co  0.5000  0.5000  0.5000

Its energy of formation is 0.571 eV/atom. Its space-group type is R-3m (166).

Entry 13:
Computed, not measured: a PBEsol-optimized structure of YSc3Co at the meta-GGA SCAN level of DFT.

a = 4.8684 Å, b = 4.8684 Å, c = 4.8684 Å
α = 90.00°, β = 90.00°, γ = 90.00°
Positions (direct):
Y  0.0000  0.0000  0.0000
Sc  0.0000  0.5000  0.5000
Sc  0.5000  0.0000  0.5000
Sc  0.5000  0.5000  0.0000
Co  0.5000  0.5000  0.5000

Its energy of formation is -0.061 eV/atom. Its space-group type is Pm-3m (221).

Entry 14:
Computed, not measured: a PBEsol-optimized structure of YSc2Co at the meta-GGA SCAN level of DFT.

a = 5.8474 Å, b = 5.8474 Å, c = 5.8474 Å
α = 147.21°, β = 129.74°, γ = 61.32°
Positions (direct):
Y  0.0000  0.0000  0.0000
Sc  0.3039  0.8039  0.5000
Sc  0.6961  0.1961  0.5000
Co  0.5000  0.5000  0.0000

Its energy of formation is -0.132 eV/atom. Its space-group type is Immm (71).

Entry 15:
Computed, not measured: a PBEsol-optimized structure of YScCo2 at the meta-GGA SCAN level of DFT.

a = 3.1763 Å, b = 3.1763 Å, c = 6.3794 Å
α = 90.00°, β = 90.00°, γ = 90.00°
Positions (direct):
Y  0.0000  0.0000  0.0000
Sc  0.0000  0.0000  0.5000
Co  0.5000  0.5000  0.2710
Co  0.5000  0.5000  0.7290

Its energy of formation is -0.223 eV/atom. Its space-group type is P4/mmm (123).

What are the total moment values for these records? In order: 4.01; 0.00; 1.75; 0.84; 1.00; 2.33; 0.00; 0.78; 0.00; 1.81; 0.86; 0.83; 0.00; 0.42; 1.00 μB per cell.
What are the DOS(E_F) values for these records? In order: 2.5; 10.6; 1.6; 1.9; 1.4; 2.5; 2.7; 3.5; 2.4; 6.6; 3.8; 3.5; 5.8; 3.9; 2.1 states/eV per cell.